Density functional theory data (PBE+U) for an optimized crystal structure of BaCrW2O8.

Structure (CIF):
```
data_BaCrW2O8
_chemical_formula_sum 'Ba1 Cr1 W2 O8'
_space_group_name_H-M_alt 'P -3 m 1'
_space_group_IT_number 164
_space_group_name_Hall '-P 3 2"'
_cell_length_a 5.8881
_cell_length_b 5.8881
_cell_length_c 7.0769
_cell_angle_alpha 90.00
_cell_angle_beta 90.00
_cell_angle_gamma 120.00
loop_
_atom_site_label
_atom_site_type_symbol
_atom_site_fract_x
_atom_site_fract_y
_atom_site_fract_z
Ba1 Ba 0.0000 0.0000 0.0000
Cr1 Cr 0.0000 0.0000 0.5000
W1 W 0.3333 0.6667 0.7488
O1 O 0.1621 0.3241 0.6758
O2 O 0.3333 0.6667 0.0040
```

The value obtained for the raw total energy is -7.323 eV/atom.